1.
{
  "formula": "SrTlIn",
  "functional": "PBE",
  "state": "relaxed",
  "magnetic_moment_mub_per_fu": 0.00,
  "volume_a3_per_atom": 31.77,
  "lattice_angstrom": [[5.212, 0.000, 0.000], [-2.606, 4.513, 0.000], [0.000, 0.000, 4.052]],
  "species": ["Sr", "Tl", "In"],
  "frac_coords": [[0.333, 0.667, 0.340], [0.667, 0.333, 0.760], [0.000, 0.000, 0.900]]
}



2.
{
  "formula": "Sr2Tl2In",
  "functional": "PBE",
  "state": "relaxed",
  "magnetic_moment_mub_per_fu": 0.00,
  "volume_a3_per_atom": 35.97,
  "e_above_lowest_polymorph_ev_per_atom": 0.2066,
  "lattice_angstrom": [[-8.078, 2.872, 3.633], [-4.196, -7.630, -3.299], [0.873, -2.004, 3.526]],
  "species": ["Sr", "Sr", "In", "Tl", "Sr", "Tl", "Sr", "In", "Tl", "Tl"],
  "frac_coords": [[0.837, 0.663, 0.000], [0.337, 0.837, 0.000], [0.000, 0.000, 0.000], [0.864, 0.364, 0.500], [0.163, 0.337, 0.000], [0.136, 0.636, 0.500], [0.663, 0.163, 0.000], [0.500, 0.500, 0.000], [0.364, 0.136, 0.500], [0.636, 0.864, 0.500]]
}



3.
{
  "formula": "SrTl2In9",
  "functional": "PBE",
  "state": "relaxed",
  "magnetic_moment_mub_per_fu": 0.00,
  "volume_a3_per_atom": 30.01,
  "lattice_angstrom": [[-5.935, 0.047, 1.992], [-1.242, 0.259, 6.130], [-2.464, 10.702, 2.246]],
  "species": ["In", "In", "In", "In", "Tl", "In", "Sr", "In", "In", "In", "In", "Tl"],
  "frac_coords": [[0.665, 0.665, 0.006], [0.588, 0.080, 0.745], [0.412, 0.920, 0.255], [0.920, 0.412, 0.255], [0.859, 0.859, 0.423], [0.412, 0.412, 0.255], [0.000, 0.000, 0.000], [0.080, 0.588, 0.745], [0.588, 0.588, 0.745], [0.500, 0.500, 0.500], [0.335, 0.335, 0.994], [0.141, 0.141, 0.577]]
}



4.
{
  "formula": "SrTl3In",
  "functional": "PBE",
  "state": "relaxed",
  "magnetic_moment_mub_per_fu": 0.00,
  "volume_a3_per_atom": 38.89,
  "e_above_lowest_polymorph_ev_per_atom": 0.2999,
  "lattice_angstrom": [[5.794, 0.000, 0.000], [0.000, 5.794, 0.000], [0.000, 0.000, 5.794]],
  "species": ["Tl", "Tl", "Tl", "Sr", "In"],
  "frac_coords": [[0.000, 0.500, 0.000], [0.000, 0.000, 0.500], [0.500, 0.000, 0.000], [0.500, 0.500, 0.500], [0.000, 0.000, 0.000]]
}



Formation enthalpy at 0 K for the records above, in order: -348, -185, -61, 84 meV per atom
D(E_F) for the records above, in order: 0.407, 0.642, 0.447, 0.693 states/eV/atom